{"formula": "DyPaRh", "functional": "GGA-PBE", "state": "optimized geometry", "delta_e_f_ev_per_atom": -0.18, "e_above_lowest_polymorph_kcal_per_mol_atoms": 6.39, "m_tot_mub_per_cell": 0.46, "lattice": [[0.000, 3.381, 3.381], [3.381, 0.000, 3.381], [3.381, 3.381, 0.000]], "species": ["Dy", "Pa", "Rh"], "fractional_positions": [[0.000, 0.000, 0.000], [0.500, 0.500, 0.500], [0.250, 0.250, 0.250]]}